# 1
# Ca5Ac12Pr2

A relaxed Ca5Ac12Pr2 crystal (PBE, the Alexandria database).

Properties
Fermi-level density of states: 1.578 states/eV per atom
Calculated formation energy: 101 meV per atom

Cell lengths 11.678, 11.678, 6.757 Å; angles 100.22, 100.22, 66.98 degrees
Fractional positions:
Ca 0.000 0.000 0.000
Ca 0.217 0.217 0.064
Ca 0.323 0.323 0.643
Ca 0.677 0.677 0.357
Ca 0.783 0.783 0.936
Ac 0.061 0.548 0.303
Ac 0.106 0.106 0.523
Ac 0.145 0.653 0.883
Ac 0.347 0.855 0.117
Ac 0.446 0.446 0.226
Ac 0.452 0.939 0.697
Ac 0.548 0.061 0.303
Ac 0.554 0.554 0.774
Ac 0.653 0.145 0.883
Ac 0.855 0.347 0.117
Ac 0.894 0.894 0.477
Ac 0.939 0.452 0.697
Pr 0.242 0.758 0.500
Pr 0.758 0.242 0.500

---

# 2
# Pr2Al3ZnPt4

A relaxed Pr2Al3ZnPt4 crystal (PBE, the Alexandria database).

Properties
Fermi-level density of states: 0.720 states/eV per atom
Calculated formation energy: -1031 meV per atom

Cell lengths 4.342, 4.342, 10.318 Å; angles 90.00, 90.00, 90.00 degrees
Fractional positions:
Pr 0.000 0.500 0.250
Pr 0.500 0.000 0.750
Al 0.000 0.000 0.000
Al 0.000 0.500 0.624
Al 0.500 0.000 0.376
Zn 0.500 0.500 0.000
Pt 0.000 0.000 0.500
Pt 0.000 0.500 0.865
Pt 0.500 0.000 0.135
Pt 0.500 0.500 0.500

---

Please write out number 2 again, unchanged.
# Pr2Al3ZnPt4

A relaxed Pr2Al3ZnPt4 crystal (PBE, the Alexandria database).

Properties
Fermi-level density of states: 0.720 states/eV per atom
Calculated formation energy: -1031 meV per atom

Cell lengths 4.342, 4.342, 10.318 Å; angles 90.00, 90.00, 90.00 degrees
Fractional positions:
Pr 0.000 0.500 0.250
Pr 0.500 0.000 0.750
Al 0.000 0.000 0.000
Al 0.000 0.500 0.624
Al 0.500 0.000 0.376
Zn 0.500 0.500 0.000
Pt 0.000 0.000 0.500
Pt 0.000 0.500 0.865
Pt 0.500 0.000 0.135
Pt 0.500 0.500 0.500

---

Repeat the second record exactly.
# Pr2Al3ZnPt4

A relaxed Pr2Al3ZnPt4 crystal (PBE, the Alexandria database).

Properties
Fermi-level density of states: 0.720 states/eV per atom
Calculated formation energy: -1031 meV per atom

Cell lengths 4.342, 4.342, 10.318 Å; angles 90.00, 90.00, 90.00 degrees
Fractional positions:
Pr 0.000 0.500 0.250
Pr 0.500 0.000 0.750
Al 0.000 0.000 0.000
Al 0.000 0.500 0.624
Al 0.500 0.000 0.376
Zn 0.500 0.500 0.000
Pt 0.000 0.000 0.500
Pt 0.000 0.500 0.865
Pt 0.500 0.000 0.135
Pt 0.500 0.500 0.500

---

Which value of Fermi-level density of states does entry 2 give?
0.720 states/eV per atom